First-principles (GGA+U) data for NaMgCrF6 after structural relaxation, as listed in Alexandria.

The value obtained for the total energy is -49.1 eV/f.u. As for the density of states at the Fermi level: 0.00 states/eV per cell. For the calculated volume, the calculation gives 236.01 Å³ per cell.

The space group is P-31c (No. 163) and the conventional cell measures 5.2663, 5.2663 and 9.8261 Å, with angles of 90.00, 90.00 and 120.00 degrees. The distinct sites, in fractional coordinates, are Na at (0.0000, 0.0000, 0.0000), Mg at (0.3333, 0.6667, 0.2500), Cr at (0.3333, 0.6667, 0.7500) and F at (0.0093, 0.3672, 0.6428).